No. 1
# PBE CaCdNi2H8, relaxed
# total magnetization: 0.00 μB/f.u.
# electronic total energy: -3.29 eV/atom
data_CaCdNi2H8
_chemical_formula_sum 'Ca1 Cd1 Ni2 H8'
_symmetry_space_group_name_H-M 'P -3 m 1'
_symmetry_Int_Tables_number 164
_symmetry_space_group_name_Hall '-P 3 2"'
_cell_length_a 4.8929
_cell_length_b 4.8929
_cell_length_c 6.5538
_cell_angle_alpha 90.00
_cell_angle_beta 90.00
_cell_angle_gamma 120.00
loop_
_atom_site_label
_atom_site_type_symbol
_atom_site_fract_x
_atom_site_fract_y
_atom_site_fract_z
Ca1 Ca 0.0000 0.0000 0.0000
Cd1 Cd 0.0000 0.0000 0.5000
Ni1 Ni 0.3333 0.6667 0.3012
H1 H 0.1538 0.3077 0.2794
H2 H 0.3333 0.6667 0.0722



No. 2
# PBE PrTiGe2, relaxed
# total magnetization: 0.00 μB/f.u.
# calculated formation energy: -2.311 eV per formula unit
# electronic total energy: -6.06 eV/atom
data_PrTiGe2
_chemical_formula_sum 'Pr3 Ti3 Ge6'
_symmetry_space_group_name_H-M 'R -3 m'
_symmetry_Int_Tables_number 166
_symmetry_space_group_name_Hall '-R 3 2"'
_cell_length_a 4.2819
_cell_length_b 4.2819
_cell_length_c 16.7227
_cell_angle_alpha 90.00
_cell_angle_beta 90.00
_cell_angle_gamma 120.00
loop_
_atom_site_label
_atom_site_type_symbol
_atom_site_fract_x
_atom_site_fract_y
_atom_site_fract_z
Pr1 Pr 0.0000 0.0000 0.0000
Ti1 Ti 0.0000 0.0000 0.5000
Ge1 Ge 0.0000 0.0000 0.2272



No. 3
# PBE KRbCdH3, relaxed
# total magnetization: 0.52 μB/f.u.
# electronic total energy: -2.22 eV/atom
data_KRbCdH3
_chemical_formula_sum 'K2 Rb2 Cd2 H6'
_symmetry_space_group_name_H-M 'P 63/m m c'
_symmetry_Int_Tables_number 194
_symmetry_space_group_name_Hall '-P 6c 2c'
_cell_length_a 6.2621
_cell_length_b 6.2621
_cell_length_c 8.5185
_cell_angle_alpha 90.00
_cell_angle_beta 90.00
_cell_angle_gamma 120.00
loop_
_atom_site_label
_atom_site_type_symbol
_atom_site_fract_x
_atom_site_fract_y
_atom_site_fract_z
K1 K 0.0000 0.0000 0.0000
Rb1 Rb 0.3333 0.6667 0.2500
Cd1 Cd 0.3333 0.6667 0.7500
H1 H 0.1676 0.3352 0.7500



No. 4
# PBE Cu2S4Br, relaxed
# raw formation energy: -0.03 eV/atom
# total magnetization: 0.00 μB/f.u.
# electronic total energy: -3.80 eV/atom
data_Cu2S4Br
_chemical_formula_sum 'Cu4 S8 Br2'
_symmetry_space_group_name_H-M 'C 1 2/m 1'
_symmetry_Int_Tables_number 12
_cell_length_a 6.983
_cell_length_b 3.751
_cell_length_c 11.573
_cell_angle_alpha 90.00
_cell_angle_beta 102.78
_cell_angle_gamma 90.00
loop_
_symmetry_equiv_pos_as_xyz
'x,y,z'
'-x,-y,-z'
'-x,y,-z'
'x,-y,z'
'x+1/2,y+1/2,z'
'-x+1/2,-y+1/2,-z'
'-x+1/2,y+1/2,-z'
'x+1/2,-y+1/2,z'
loop_
_atom_site_label
_atom_site_type_symbol
_atom_site_fract_x
_atom_site_fract_y
_atom_site_fract_z
Cu1 Cu 0.087 0.000 0.214
S1 S 0.066 0.500 0.735
S2 S 0.137 0.500 0.572
Br1 Br 0.000 0.000 0.000



No. 5
# PBE Tm3PbS, relaxed
# raw formation energy: -1.01 eV/atom
# total magnetization: 0.00 μB/f.u.
# electronic total energy: -5.26 eV/atom
# energy above the most stable polymorph in this dataset: 0 meV/atom
data_Tm3PbS
_chemical_formula_sum 'Tm12 Pb4 S4'
_symmetry_space_group_name_H-M 'P n m a'
_symmetry_Int_Tables_number 62
_cell_length_a 8.814
_cell_length_b 3.966
_cell_length_c 14.412
_cell_angle_alpha 90.00
_cell_angle_beta 90.00
_cell_angle_gamma 90.00
loop_
_symmetry_equiv_pos_as_xyz
'x,y,z'
'-x,-y,-z'
'-x+1/2,-y,z+1/2'
'x+1/2,y,-z+1/2'
'x+1/2,-y+1/2,-z+1/2'
'-x+1/2,y+1/2,z+1/2'
'-x,y+1/2,-z'
'x,-y+1/2,z'
loop_
_atom_site_label
_atom_site_type_symbol
_atom_site_fract_x
_atom_site_fract_y
_atom_site_fract_z
Tm1 Tm 0.031 0.250 0.111
Tm2 Tm 0.169 0.250 0.512
Tm3 Tm 0.212 0.750 0.280
Pb1 Pb 0.062 0.750 0.671
S1 S 0.160 0.250 0.944



No. 6
# PBE TlV3Cl12, relaxed
# raw formation energy: -1.14 eV/atom
# total magnetization: 4.00 μB/f.u.
# electronic total energy: -4.39 eV/atom
data_TlV3Cl12
_chemical_formula_sum 'Tl6 V18 Cl72'
_symmetry_space_group_name_H-M 'R 3 c'
_symmetry_Int_Tables_number 161
_symmetry_space_group_name_Hall 'R 3 -2"c'
_cell_length_a 11.4507
_cell_length_b 11.4507
_cell_length_c 35.0389
_cell_angle_alpha 90.00
_cell_angle_beta 90.00
_cell_angle_gamma 120.00
loop_
_atom_site_label
_atom_site_type_symbol
_atom_site_fract_x
_atom_site_fract_y
_atom_site_fract_z
Tl1 Tl 0.0000 0.0000 0.0000
V1 V 0.0334 0.3438 0.0529
Cl1 Cl 0.1272 0.3407 0.9990
Cl2 Cl 0.1884 0.4249 0.0968
Cl3 Cl 0.1931 0.4021 0.3808
Cl4 Cl 0.2002 0.4236 0.7329



No. 7
# PBE Li5AgAu2, relaxed
# total magnetization: 0.00 μB/f.u.
# calculated formation energy: -2.609 eV per formula unit
# electronic total energy: -2.70 eV/atom
# energy above the most stable polymorph in this dataset: 47 meV/atom
data_Li5AgAu2
_chemical_formula_sum 'Li20 Ag4 Au8'
_symmetry_space_group_name_H-M 'C m c m'
_symmetry_Int_Tables_number 63
_symmetry_space_group_name_Hall '-C 2c 2'
_cell_length_a 4.613
_cell_length_b 7.821
_cell_length_c 14.580
_cell_angle_alpha 90.00
_cell_angle_beta 90.00
_cell_angle_gamma 90.00
loop_
_atom_site_label
_atom_site_type_symbol
_atom_site_fract_x
_atom_site_fract_y
_atom_site_fract_z
Li1 Li 0.000 0.051 0.078
Li2 Li 0.000 0.285 0.750
Li3 Li 0.000 0.380 0.138
Ag1 Ag 0.000 0.052 0.250
Au1 Au 0.000 0.290 0.559



No. 8
# PBE FePCSe, relaxed
# raw formation energy: 0.32 eV/atom
# total magnetization: 1.04 μB/f.u.
# electronic total energy: -6.32 eV/atom
# energy above the most stable polymorph in this dataset: 44 meV/atom
data_FePCSe
_chemical_formula_sum 'Fe1 P1 C1 Se1'
_symmetry_space_group_name_H-M 'P 1 m 1'
_symmetry_Int_Tables_number 6
_cell_length_a 3.419
_cell_length_b 2.903
_cell_length_c 7.348
_cell_angle_alpha 90.00
_cell_angle_beta 92.90
_cell_angle_gamma 90.00
loop_
_symmetry_equiv_pos_as_xyz
'x,y,z'
'x,-y,z'
loop_
_atom_site_label
_atom_site_type_symbol
_atom_site_fract_x
_atom_site_fract_y
_atom_site_fract_z
Fe1 Fe 0.000 0.000 0.000
P1 P 0.668 0.500 0.764
C1 C 0.449 0.000 0.861
Se1 Se 0.099 0.500 0.237



No. 9
# PBE Ag4Rh5, relaxed
# total magnetization: 0.00 μB/f.u.
# calculated formation energy: 2.480 eV per formula unit
# electronic total energy: -5.08 eV/atom
data_Ag4Rh5
_chemical_formula_sum 'Ag8 Rh10'
_symmetry_space_group_name_H-M 'I 4/m m m'
_symmetry_Int_Tables_number 139
_symmetry_space_group_name_Hall '-I 4 2'
_cell_length_a 8.430
_cell_length_b 8.430
_cell_length_c 3.986
_cell_angle_alpha 90.00
_cell_angle_beta 90.00
_cell_angle_gamma 90.00
loop_
_atom_site_label
_atom_site_type_symbol
_atom_site_fract_x
_atom_site_fract_y
_atom_site_fract_z
Ag1 Ag 0.000 0.330 0.000
Rh1 Rh 0.000 0.000 0.000
Rh2 Rh 0.158 0.158 0.500



No. 10
# PBE LaZrS2, relaxed
# raw formation energy: -1.28 eV/atom
# total magnetization: 0.00 μB/f.u.
# electronic total energy: -6.72 eV/atom
data_LaZrS2
_chemical_formula_sum 'La4 Zr4 S8'
_symmetry_space_group_name_H-M 'I -4 2 d'
_symmetry_Int_Tables_number 122
_symmetry_space_group_name_Hall 'I -4 2bw'
_cell_length_a 6.083
_cell_length_b 6.083
_cell_length_c 12.360
_cell_angle_alpha 90.00
_cell_angle_beta 90.00
_cell_angle_gamma 90.00
loop_
_atom_site_label
_atom_site_type_symbol
_atom_site_fract_x
_atom_site_fract_y
_atom_site_fract_z
La1 La 0.000 0.000 0.000
Zr1 Zr 0.000 0.000 0.500
S1 S 0.207 0.250 0.625



No. 11
# PBE SrZnO5, relaxed
# raw formation energy: -1.04 eV/atom
# total magnetization: 2.05 μB/f.u.
# electronic total energy: -5.00 eV/atom
# energy above the most stable polymorph in this dataset: 0 meV/atom
data_SrZnO5
_chemical_formula_sum 'Sr2 Zn2 O10'
_symmetry_space_group_name_H-M 'P -1'
_symmetry_Int_Tables_number 2
_cell_length_a 5.796
_cell_length_b 6.169
_cell_length_c 7.497
_cell_angle_alpha 92.03
_cell_angle_beta 109.04
_cell_angle_gamma 109.84
loop_
_symmetry_equiv_pos_as_xyz
'x,y,z'
'-x,-y,-z'
loop_
_atom_site_label
_atom_site_type_symbol
_atom_site_fract_x
_atom_site_fract_y
_atom_site_fract_z
Sr1 Sr 0.105 0.028 0.264
Zn1 Zn 0.248 0.606 0.108
O1 O 0.059 0.286 0.019
O2 O 0.205 0.649 0.425
O3 O 0.268 0.105 0.621
O4 O 0.404 0.659 0.570
O5 O 0.486 0.095 0.771



No. 12
# PBE Hf6BiRu, relaxed
# total magnetization: 0.00 μB/f.u.
# calculated formation energy: 0.692 eV per formula unit
# electronic total energy: -9.02 eV/atom
data_Hf6BiRu
_chemical_formula_sum 'Hf12 Bi2 Ru2'
_symmetry_space_group_name_H-M 'C 1 2/m 1'
_symmetry_Int_Tables_number 12
_cell_length_a 7.353
_cell_length_b 9.763
_cell_length_c 6.040
_cell_angle_alpha 90.00
_cell_angle_beta 125.12
_cell_angle_gamma 90.00
loop_
_symmetry_equiv_pos_as_xyz
'x,y,z'
'-x,-y,-z'
'-x,y,-z'
'x,-y,z'
'x+1/2,y+1/2,z'
'-x+1/2,-y+1/2,-z'
'-x+1/2,y+1/2,-z'
'x+1/2,-y+1/2,z'
loop_
_atom_site_label
_atom_site_type_symbol
_atom_site_fract_x
_atom_site_fract_y
_atom_site_fract_z
Hf1 Hf 0.013 0.231 0.254
Hf2 Hf 0.246 0.000 0.753
Bi1 Bi 0.000 0.500 0.500
Ru1 Ru 0.000 0.000 0.000